## SrMg2Ag9 (PBE-GGA)

Data for a geometry-optimized SrMg2Ag9 structure.

a = 11.4719 Å, b = 11.4719 Å, c = 7.4485 Å
α = 90.00°, β = 90.00°, γ = 90.00°
Space group I4_1/amd (No. 141, origin choice 2)
Symmetry-distinct sites (fractional):
Sr  0.0000  0.2500  0.3750 (multiplicity 4)
Mg  0.0000  0.0000  0.0000 (multiplicity 8)
Ag  0.0000  0.2500  0.8750 (multiplicity 4)
Ag  0.1221  0.0451  0.6809 (multiplicity 32)

Properties
The spin magnetization comes out at 0.00 μB/cell. As for the relative energy among the computed polymorphs: 0 meV per atom. The calculated total energy is -129.5 eV for the cell shown. Its volume is 20.4 Å³/atom. The calculation puts the energy of formation at -0.153 eV/atom.